A relaxed structure of Mn2AlCoN, computed with GGA-PBE.

Structure (CIF):
```
data_Mn2AlCoN
_chemical_formula_sum 'Mn2 Al1 Co1 N1'
_symmetry_space_group_name_H-M 'P 4/m m m'
_symmetry_Int_Tables_number 123
_symmetry_space_group_name_Hall '-P 4 2'
_cell_length_a 3.743
_cell_length_b 3.743
_cell_length_c 3.815
_cell_angle_alpha 90.00
_cell_angle_beta 90.00
_cell_angle_gamma 90.00
loop_
_atom_site_label
_atom_site_type_symbol
_atom_site_fract_x
_atom_site_fract_y
_atom_site_fract_z
Mn1 Mn 0.000 0.500 0.000
Al1 Al 0.000 0.000 0.500
Co1 Co 0.500 0.500 0.500
N1 N 0.500 0.500 0.000
```

* crystal system: tetragonal
* formation energy from raw total energies: -0.3309 eV/atom
* V: 10.69 A^3/atom

***

A relaxed structure of Sr3Pd7Pb2, computed with GGA-PBE.

Structure (CIF):
```
data_Sr3Pd7Pb2
_chemical_formula_sum 'Sr9 Pd21 Pb6'
_symmetry_space_group_name_H-M 'R -3 m'
_symmetry_Int_Tables_number 166
_symmetry_space_group_name_Hall '-R 3 2"'
_cell_length_a 5.8598
_cell_length_b 5.8598
_cell_length_c 26.7179
_cell_angle_alpha 90.00
_cell_angle_beta 90.00
_cell_angle_gamma 120.00
loop_
_atom_site_label
_atom_site_type_symbol
_atom_site_fract_x
_atom_site_fract_y
_atom_site_fract_z
Sr1 Sr 0.0000 0.0000 0.0000
Sr2 Sr 0.0000 0.0000 0.1408
Pd1 Pd 0.0000 0.0000 0.5000
Pd2 Pd 0.0001 0.5001 0.0844
Pb1 Pb 0.0000 0.0000 0.3326
```

* crystal system: trigonal
* calculated formation energy: -508 meV/atom
* V: 22.07 A^3/atom

***

A relaxed structure of Al2TlGeBi, computed with GGA-PBE.

Structure (CIF):
```
data_Al2TlGeBi
_chemical_formula_sum 'Al2 Tl1 Ge1 Bi1'
_symmetry_space_group_name_H-M 'P 4/m m m'
_symmetry_Int_Tables_number 123
_symmetry_space_group_name_Hall '-P 4 2'
_cell_length_a 5.549
_cell_length_b 5.549
_cell_length_c 5.682
_cell_angle_alpha 90.00
_cell_angle_beta 90.00
_cell_angle_gamma 90.00
loop_
_atom_site_label
_atom_site_type_symbol
_atom_site_fract_x
_atom_site_fract_y
_atom_site_fract_z
Al1 Al 0.000 0.500 0.000
Tl1 Tl 0.000 0.000 0.500
Ge1 Ge 0.500 0.500 0.500
Bi1 Bi 0.500 0.500 0.000
```

* crystal system: tetragonal
* calculated formation energy: 870 meV/atom
* V: 34.99 A^3/atom

***

A relaxed structure of BaCaCo2, computed with GGA-PBE.

Structure (CIF):
```
data_BaCaCo2
_chemical_formula_sum 'Ba1 Ca1 Co2'
_symmetry_space_group_name_H-M 'P 4/m m m'
_symmetry_Int_Tables_number 123
_symmetry_space_group_name_Hall '-P 4 2'
_cell_length_a 3.851
_cell_length_b 3.851
_cell_length_c 6.988
_cell_angle_alpha 90.00
_cell_angle_beta 90.00
_cell_angle_gamma 90.00
loop_
_atom_site_label
_atom_site_type_symbol
_atom_site_fract_x
_atom_site_fract_y
_atom_site_fract_z
Ba1 Ba 0.000 0.000 0.000
Ca1 Ca 0.000 0.000 0.500
Co1 Co 0.500 0.500 0.340
```

* crystal system: tetragonal
* calculated formation energy: 468 meV/atom
* V: 25.91 A^3/atom
* offset from the most stable computed form: 0.333 eV/atom

***

Look up the V of the third one. 34.99 A^3/atom